# VZnCo | Alexandria | PBE | relaxed
# total DFT energy (no corrections)	-102.930	eV per cell
data_VZnCo
_cell_length_a 4.0283
_cell_length_b 4.0283
_cell_length_c 18.3711
_cell_angle_alpha 90.00
_cell_angle_beta 90.00
_cell_angle_gamma 120.00
_symmetry_space_group_name_H-M 'R -3 m'
_symmetry_Int_Tables_number 166
_symmetry_space_group_name_Hall '-R 3 2"'
loop_
_atom_site_label
_atom_site_fract_x
_atom_site_fract_y
_atom_site_fract_z
_atom_site_occupancy
V1 0.0000 0.0000 0.1189 1
Zn1 0.0000 0.0000 0.3741 1
Co1 0.0000 0.0000 0.2381 1